# Mg3NbPb, relaxed, DFT GGA-PBE
# **Energy above the most stable polymorph in this dataset**: 0 meV/atom
# **Formation energy**: 0.981 eV per atom
# **Raw total energy**: -2.732 eV/atom
# **V**: 31.116 Å³ per atom
data_Mg3NbPb
_chemical_formula_sum 'Mg3 Nb1 Pb1'
_space_group_name_H-M_alt 'P m -3 m'
_space_group_IT_number 221
_space_group_name_Hall '-P 4 2 3'
_cell_length_a 5.378
_cell_length_b 5.378
_cell_length_c 5.378
_cell_angle_alpha 90.00
_cell_angle_beta 90.00
_cell_angle_gamma 90.00
loop_
_atom_site_label
_atom_site_type_symbol
_atom_site_fract_x
_atom_site_fract_y
_atom_site_fract_z
Mg1 Mg 0.000 0.000 0.500
Nb1 Nb 0.000 0.000 0.000
Pb1 Pb 0.500 0.500 0.500

=====

# MgNb2Pb, relaxed, DFT GGA-PBE
# **Formation energy**: 0.681 eV per atom
# **Raw total energy**: -5.680 eV/atom
# **V**: 21.616 Å³ per atom
data_MgNb2Pb
_chemical_formula_sum 'Mg4 Nb8 Pb4'
_space_group_name_H-M_alt 'I -4 2 d'
_space_group_IT_number 122
_space_group_name_Hall 'I -4 2bw'
_cell_length_a 7.745
_cell_length_b 7.745
_cell_length_c 5.766
_cell_angle_alpha 90.00
_cell_angle_beta 90.00
_cell_angle_gamma 90.00
loop_
_atom_site_label
_atom_site_type_symbol
_atom_site_fract_x
_atom_site_fract_y
_atom_site_fract_z
Mg1 Mg 0.000 0.000 0.000
Nb1 Nb 0.249 0.750 0.625
Pb1 Pb 0.000 0.000 0.500

=====

# MgNbPb, relaxed, DFT GGA-PBE
# **Formation energy**: 0.200 eV per atom
# **Raw total energy**: -4.925 eV/atom
# **V**: 22.040 Å³ per atom
data_MgNbPb
_chemical_formula_sum 'Mg2 Nb2 Pb2'
_space_group_name_H-M_alt 'P 1'
_space_group_IT_number 1
_space_group_name_Hall 'P 1'
_cell_length_a 3.208
_cell_length_b 5.983
_cell_length_c 7.540
_cell_angle_alpha 107.26
_cell_angle_beta 93.56
_cell_angle_gamma 104.65
loop_
_atom_site_label
_atom_site_type_symbol
_atom_site_fract_x
_atom_site_fract_y
_atom_site_fract_z
Mg1 Mg 0.000 0.000 0.000
Mg2 Mg 0.315 0.692 0.656
Nb1 Nb 0.308 0.594 0.052
Nb2 Nb 0.812 0.915 0.362
Pb1 Pb 0.560 0.235 0.728
Pb2 Pb 0.677 0.378 0.313

=====

# MgNbPb, relaxed, DFT GGA-PBE
# **Formation energy**: 0.194 eV per atom
# **Raw total energy**: -4.930 eV/atom
# **V**: 21.472 Å³ per atom
data_MgNbPb
_chemical_formula_sum 'Mg2 Nb2 Pb2'
_space_group_name_H-M_alt 'P 3 m 1'
_space_group_IT_number 156
_space_group_name_Hall 'P 3 -2"'
_cell_length_a 4.9522
_cell_length_b 4.9522
_cell_length_c 6.0660
_cell_angle_alpha 90.00
_cell_angle_beta 90.00
_cell_angle_gamma 120.00
loop_
_atom_site_label
_atom_site_type_symbol
_atom_site_fract_x
_atom_site_fract_y
_atom_site_fract_z
Mg1 Mg 0.0000 0.0000 0.0000
Mg2 Mg 0.3333 0.6667 0.6725
Nb1 Nb 0.3333 0.6667 0.1894
Nb2 Nb 0.6667 0.3333 0.3325
Pb1 Pb 0.0000 0.0000 0.4684
Pb2 Pb 0.6667 0.3333 0.8571